#P
Here is MnCoSi after structural relaxation from the Alexandria database. Energies are from GGA-PBE.

a = 2.5727 Å, b = 2.5727 Å, c = 5.7688 Å
α = 90.00°, β = 90.00°, γ = 120.00°
Sites, in units of the cell vectors:
Co  0.0000  0.0000  0.9942
Mn  0.6667  0.3333  0.3339
Si  0.3333  0.6667  0.6719

Calculated values
SG   P3m1, No. 156
Fermi-level density of states   2.332 states/eV/cell

***

#Q
Here is MnCoSi after structural relaxation from the Alexandria database. Energies are from GGA-PBE.

a = 3.6547 Å, b = 5.7143 Å, c = 6.8666 Å
α = 90.00°, β = 90.00°, γ = 90.00°
Sites, in units of the cell vectors:
Co  0.2500  0.1579  0.4415
Co  0.7500  0.3421  0.9415
Co  0.7500  0.8421  0.5585
Co  0.2500  0.6579  0.0585
Mn  0.2500  0.0286  0.8173
Mn  0.7500  0.4714  0.3173
Mn  0.7500  0.9714  0.1827
Mn  0.2500  0.5286  0.6827
Si  0.2500  0.7664  0.3752
Si  0.7500  0.7336  0.8752
Si  0.7500  0.2336  0.6248
Si  0.2500  0.2664  0.1248

Calculated values
SG   Pnma, No. 62
Fermi-level density of states   7.694 states/eV/cell

***

Name the most stable of them. #Q.

***

#P
Here is MnCo3Sn after structural relaxation from the Alexandria database. Energies are from GGA-PBE.

a = 4.2165 Å, b = 4.2165 Å, c = 4.2165 Å
α = 90.00°, β = 90.00°, γ = 90.00°
Sites, in units of the cell vectors:
Mn  0.0000  0.0000  0.0000
Co  0.0000  0.5000  0.0000
Co  0.0000  0.0000  0.5000
Co  0.5000  0.0000  0.0000
Sn  0.5000  0.5000  0.5000

Calculated values
SG   Pm-3m, No. 221
Fermi-level density of states   8.108 states/eV/cell

***

#Q
Here is MnCo3Sn after structural relaxation from the Alexandria database. Energies are from GGA-PBE.

a = 4.6281 Å, b = 4.6281 Å, c = 4.6281 Å
α = 90.00°, β = 90.00°, γ = 90.00°
Sites, in units of the cell vectors:
Mn  0.5000  0.5000  0.5000
Co  0.0000  0.5000  0.0000
Co  0.0000  0.0000  0.5000
Co  0.5000  0.0000  0.0000
Sn  0.0000  0.0000  0.0000

Calculated values
SG   Pm-3m, No. 221
Fermi-level density of states   11.038 states/eV/cell

***

Name the most stable of them. #P.

***

#P
Here is Sr2MnCo after structural relaxation from the Alexandria database. Energies are from GGA-PBE.

a = 7.0333 Å, b = 7.0333 Å, c = 7.0333 Å
α = 147.34°, β = 140.71°, γ = 51.99°
Sites, in units of the cell vectors:
Co  0.4200  0.4200  0.0000
Mn  0.3246  0.8246  0.5000
Sr  0.0081  0.0081  0.0000
Sr  0.7473  0.2473  0.5000

Calculated values
SG   Imm2, No. 44
Fermi-level density of states   3.240 states/eV/cell

***

#Q
Here is Sr2MnCo after structural relaxation from the Alexandria database. Energies are from GGA-PBE.

a = 5.1767 Å, b = 5.1767 Å, c = 5.1767 Å
α = 60.00°, β = 60.00°, γ = 60.00°
Sites, in units of the cell vectors:
Co  0.5000  0.5000  0.5000
Mn  0.7500  0.7500  0.7500
Sr  0.0000  0.0000  0.0000
Sr  0.2500  0.2500  0.2500

Calculated values
SG   F-43m, No. 216
Fermi-level density of states   5.613 states/eV/cell

***

#R
Here is Sr2MnCo after structural relaxation from the Alexandria database. Energies are from GGA-PBE.

a = 4.1005 Å, b = 4.7026 Å, c = 6.4044 Å
α = 68.46°, β = 90.00°, γ = 90.00°
Sites, in units of the cell vectors:
Co  0.0000  0.6710  0.5325
Mn  0.5000  0.5768  0.7217
Sr  0.0000  0.9869  0.9014
Sr  0.5000  0.2653  0.3444

Calculated values
SG   Amm2, No. 38
Fermi-level density of states   3.309 states/eV/cell

***

Name the most stable of them. #R.

***

#P
Here is Sr2MnCo after structural relaxation from the Alexandria database. Energies are from GGA-PBE.

a = 5.3273 Å, b = 5.3273 Å, c = 5.3273 Å
α = 60.00°, β = 60.00°, γ = 60.00°
Sites, in units of the cell vectors:
Sr  0.2500  0.2500  0.2500
Sr  0.7500  0.7500  0.7500
Mn  0.0000  0.0000  0.0000
Co  0.5000  0.5000  0.5000

Calculated values
SG   Fm-3m, No. 225
Fermi-level density of states   5.610 states/eV/cell

***

#Q
Here is Sr2MnCo after structural relaxation from the Alexandria database. Energies are from GGA-PBE.

a = 3.7759 Å, b = 3.7759 Å, c = 7.5312 Å
α = 90.00°, β = 90.00°, γ = 90.00°
Sites, in units of the cell vectors:
Co  0.5000  0.5000  0.2500
Mn  0.5000  0.5000  0.7500
Sr  0.0000  0.0000  0.0203
Sr  0.0000  0.0000  0.4797

Calculated values
SG   P4/mmm, No. 123
Fermi-level density of states   8.530 states/eV/cell

***

Name the most stable of them. #Q.

***

#P
Here is Sr2MnCo after structural relaxation from the Alexandria database. Energies are from GGA-PBE.

a = 5.8370 Å, b = 5.8370 Å, c = 5.8370 Å
α = 132.75°, β = 132.75°, γ = 69.05°
Sites, in units of the cell vectors:
Co  0.5000  0.5000  0.0000
Mn  0.7500  0.2500  0.5000
Sr  0.0000  0.0000  0.0000
Sr  0.2500  0.7500  0.5000

Calculated values
SG   I-4m2, No. 119
Fermi-level density of states   3.808 states/eV/cell

***

#Q
Here is Sr2MnCo after structural relaxation from the Alexandria database. Energies are from GGA-PBE.

a = 8.5708 Å, b = 8.5708 Å, c = 8.5708 Å
α = 27.84°, β = 27.84°, γ = 27.84°
Sites, in units of the cell vectors:
Co  0.4583  0.4583  0.4583
Mn  0.7917  0.7917  0.7917
Sr  0.0375  0.0375  0.0375
Sr  0.2125  0.2125  0.2125

Calculated values
SG   R3m, No. 160
Fermi-level density of states   2.258 states/eV/cell

***

Name the most stable of them. #Q.

***

#P
Here is Sr2MnCo after structural relaxation from the Alexandria database. Energies are from GGA-PBE.

a = 3.5141 Å, b = 3.5139 Å, c = 8.8267 Å
α = 90.00°, β = 90.00°, γ = 90.00°
Sites, in units of the cell vectors:
Co  0.0000  0.0000  0.5798
Mn  0.5000  0.5000  0.6681
Sr  0.0000  0.0000  0.9205
Sr  0.5000  0.5000  0.3316

Calculated values
SG   P4mm, No. 99
Fermi-level density of states   4.711 states/eV/cell

***

#Q
Here is Sr2MnCo after structural relaxation from the Alexandria database. Energies are from GGA-PBE.

a = 11.0313 Å, b = 11.0313 Å, c = 8.1232 Å
α = 47.23°, β = 47.23°, γ = 90.00°
Sites, in units of the cell vectors:
Sr  0.8015  0.1250  0.2500
Sr  0.9485  0.6250  0.2500
Sr  0.3750  0.1985  0.7500
Sr  0.8750  0.0515  0.7500
Mn  0.5000  0.5000  0.0000
Mn  0.2500  0.7500  0.5000
Co  0.0000  0.0000  0.0000
Co  0.7500  0.2500  0.5000

Calculated values
SG   I-42d, No. 122
Fermi-level density of states   6.931 states/eV/cell

***

Name the most stable of them. #P.

***

#P
Here is SrMnCo2 after structural relaxation from the Alexandria database. Energies are from GGA-PBE.

a = 5.2500 Å, b = 5.2500 Å, c = 5.2500 Å
α = 143.88°, β = 123.74°, γ = 68.70°
Sites, in units of the cell vectors:
Co  0.9706  0.9706  0.0000
Co  0.5294  0.5294  0.0000
Mn  0.7500  0.2500  0.5000
Sr  0.2500  0.7500  0.5000

Calculated values
SG   Immm, No. 71
Fermi-level density of states   4.228 states/eV/cell

***

#Q
Here is SrMnCo2 after structural relaxation from the Alexandria database. Energies are from GGA-PBE.

a = 4.5290 Å, b = 4.5290 Å, c = 4.5290 Å
α = 60.00°, β = 60.00°, γ = 60.00°
Sites, in units of the cell vectors:
Sr  0.5000  0.5000  0.5000
Mn  0.0000  0.0000  0.0000
Co  0.2500  0.2500  0.2500
Co  0.7500  0.7500  0.7500

Calculated values
SG   Fm-3m, No. 225
Fermi-level density of states   3.119 states/eV/cell

***

Name the most stable of them. #Q.

***

#P
Here is SrMnCo2 after structural relaxation from the Alexandria database. Energies are from GGA-PBE.

a = 4.1020 Å, b = 4.1020 Å, c = 5.9990 Å
α = 69.95°, β = 69.95°, γ = 60.01°
Sites, in units of the cell vectors:
Co  0.0603  0.0603  0.8191
Co  0.7381  0.7381  0.7860
Mn  0.4473  0.4473  0.6584
Sr  0.2543  0.2543  0.2365

Calculated values
SG   Cm, No. 8
Fermi-level density of states   3.281 states/eV/cell

***

#Q
Here is SrMnCo2 after structural relaxation from the Alexandria database. Energies are from GGA-PBE.

a = 4.5131 Å, b = 4.5131 Å, c = 3.2660 Å
α = 90.00°, β = 90.00°, γ = 89.98°
Sites, in units of the cell vectors:
Co  0.0000  0.0000  0.0000
Co  0.5000  0.5000  0.0000
Mn  0.5000  0.0000  0.5000
Sr  0.0000  0.5000  0.5000

Calculated values
SG   P4/mmm, No. 123
Fermi-level density of states   7.779 states/eV/cell

***

Name the most stable of them. #P.